{
  "formula": "Na2CrSn",
  "functional": "PBE-GGA",
  "state": "relaxed",
  "delta_e_f_mev_per_atom": 457,
  "spacegroup": "I-42d (122)",
  "volume_a3_per_fu": 105.1,
  "e_tot_ev_per_atom": -3.61,
  "lattice": [[8.689, 0.000, 0.000], [0.000, 8.689, 0.000], [4.344, 4.344, 2.785]],
  "species": ["Cr", "Cr", "Sn", "Sn", "Na", "Na", "Na", "Na"],
  "frac_coords": [[0.500, 0.500, 0.000], [0.250, 0.750, 0.500], [0.000, 0.000, 0.000], [0.750, 0.250, 0.500], [0.616, 0.125, 0.250], [0.134, 0.625, 0.250], [0.375, 0.384, 0.750], [0.875, 0.866, 0.750]]
}